1.
{"formula": "LiFeMo2", "functional": "PBE", "state": "relaxed", "magmom_total_mub_per_fu": 2.23, "vol_a3_per_atom": 14.767, "dos_at_fermi_per_ev_fu": 3.0, "lattice": [[-2.473, 0.910, 0.144], [-0.128, -2.597, -0.448], [-0.046, -1.512, 8.774]], "species": ["Mo", "Mo", "Li", "Fe"], "frac_coords": [[0.500, 0.500, 0.264], [0.000, 0.000, 0.006], [0.500, 0.500, 0.737], [0.000, 0.000, 0.494]]}

***

2.
{"formula": "LiFeMo2", "functional": "PBE", "state": "relaxed", "magmom_total_mub_per_fu": 2.07, "vol_a3_per_atom": 13.929, "dos_at_fermi_per_ev_fu": 3.3, "lattice": [[4.864, 0.390, 0.000], [1.757, 4.552, 0.000], [-3.310, -2.471, 2.597]], "species": ["Mo", "Mo", "Li", "Fe"], "frac_coords": [[0.000, 0.000, 0.000], [0.500, 0.500, 0.000], [0.750, 0.250, 0.500], [0.250, 0.750, 0.500]]}

***

3.
{"formula": "LiFeMo2", "functional": "PBE", "state": "relaxed", "magmom_total_mub_per_fu": 0.00, "vol_a3_per_atom": 13.190, "dos_at_fermi_per_ev_fu": 3.2, "lattice": [[-1.143, 0.751, 3.982], [-3.828, -1.129, 1.340], [-0.425, -3.197, 2.706]], "species": ["Mo", "Mo", "Fe", "Li"], "frac_coords": [[0.750, 0.750, 0.750], [0.250, 0.250, 0.250], [0.500, 0.500, 0.500], [0.000, 0.000, 0.000]]}

***

4.
{"formula": "LiFeMo2", "functional": "PBE", "state": "relaxed", "magmom_total_mub_per_fu": 0.71, "vol_a3_per_atom": 14.575, "dos_at_fermi_per_ev_fu": 4.0, "lattice": [[9.402, 0.012, 0.007], [9.013, 2.678, 0.007], [9.013, 1.316, 2.332]], "species": ["Mo", "Mo", "Li", "Fe"], "frac_coords": [[0.508, 0.508, 0.508], [0.992, 0.992, 0.992], [0.750, 0.750, 0.750], [0.250, 0.250, 0.250]]}

***

The least stable of them is 3.

***

1.
{"formula": "LiFeMo2", "functional": "PBE", "state": "relaxed", "magmom_total_mub_per_fu": 1.85, "vol_a3_per_atom": 14.004, "dos_at_fermi_per_ev_fu": 3.7, "lattice": [[5.194, -0.003, -0.011], [-2.294, 4.485, -0.061], [0.605, 0.734, 2.393]], "species": ["Fe", "Mo", "Mo", "Li"], "frac_coords": [[0.000, 0.500, 0.500], [0.000, 0.000, 0.000], [0.500, 0.000, 0.500], [0.500, 0.500, 0.000]]}

***

2.
{"formula": "LiFeMo2", "functional": "PBE", "state": "relaxed", "magmom_total_mub_per_fu": 2.15, "vol_a3_per_atom": 14.128, "dos_at_fermi_per_ev_fu": 2.8, "lattice": [[4.604, 0.063, -0.165], [3.861, 2.510, -0.165], [0.512, 0.156, 4.975]], "species": ["Li", "Mo", "Mo", "Fe"], "frac_coords": [[0.246, 0.246, 0.255], [0.757, 0.757, 0.744], [0.997, 0.997, 0.010], [0.500, 0.500, 0.492]]}

***

3.
{"formula": "LiFeMo2", "functional": "PBE", "state": "relaxed", "magmom_total_mub_per_fu": 0.00, "vol_a3_per_atom": 13.816, "dos_at_fermi_per_ev_fu": 2.4, "lattice": [[-0.897, 0.640, 2.585], [-1.020, -2.602, 0.290], [6.127, -2.107, 2.647]], "species": ["Mo", "Mo", "Li", "Fe"], "frac_coords": [[0.500, 0.500, 0.299], [0.000, 0.000, 0.988], [0.500, 0.500, 0.716], [0.000, 0.000, 0.498]]}

***

The least stable of them is 3.

***

1.
{"formula": "LiFeN2", "functional": "PBE", "state": "relaxed", "magmom_total_mub_per_fu": 2.57, "vol_a3_per_atom": 10.240, "dos_at_fermi_per_ev_fu": 0.7, "lattice": [[1.636, 0.000, 5.887], [-0.818, 1.417, 5.887], [-0.818, -1.417, 5.887]], "species": ["N", "N", "Li", "Fe"], "frac_coords": [[0.894, 0.894, 0.894], [0.106, 0.106, 0.106], [0.000, 0.000, 0.000], [0.500, 0.500, 0.500]]}

***

2.
{"formula": "LiFeN2", "functional": "PBE", "state": "relaxed", "magmom_total_mub_per_fu": 0.00, "vol_a3_per_atom": 7.163, "dos_at_fermi_per_ev_fu": 2.8, "lattice": [[-0.807, -2.554, -2.150], [-2.202, 0.556, -2.576], [1.131, 0.063, -3.243]], "species": ["N", "N", "Li", "Fe"], "frac_coords": [[0.750, 0.750, 0.750], [0.250, 0.250, 0.250], [0.000, 0.000, 0.000], [0.500, 0.500, 0.500]]}

***

3.
{"formula": "LiFeN2", "functional": "PBE", "state": "relaxed", "magmom_total_mub_per_fu": 0.00, "vol_a3_per_atom": 10.635, "dos_at_fermi_per_ev_fu": 1.6, "lattice": [[4.569, 0.000, 0.000], [0.000, 4.569, 0.000], [2.285, 2.285, 4.075]], "species": ["Fe", "Fe", "N", "N", "N", "N", "Li", "Li"], "frac_coords": [[0.000, 0.000, 0.000], [0.750, 0.250, 0.500], [0.875, 0.940, 0.750], [0.690, 0.125, 0.250], [0.375, 0.310, 0.750], [0.060, 0.625, 0.250], [0.250, 0.750, 0.500], [0.500, 0.500, 0.000]]}

***

The least stable of them is 2.

***

1.
{"formula": "Li3FeN", "functional": "PBE", "state": "relaxed", "magmom_total_mub_per_fu": 3.82, "vol_a3_per_atom": 12.181, "dos_at_fermi_per_ev_fu": 3.6, "lattice": [[3.934, 0.000, 0.000], [0.000, 3.934, 0.000], [0.000, 0.000, 3.934]], "species": ["N", "Fe", "Li", "Li", "Li"], "frac_coords": [[0.000, 0.000, 0.000], [0.500, 0.500, 0.500], [0.000, 0.000, 0.500], [0.500, 0.000, 0.000], [0.000, 0.500, 0.000]]}

***

2.
{"formula": "Li3FeN", "functional": "PBE", "state": "relaxed", "magmom_total_mub_per_fu": 4.00, "vol_a3_per_atom": 20.320, "dos_at_fermi_per_ev_fu": 5.6, "lattice": [[-4.455, -0.846, 1.102], [1.363, -3.385, 2.909], [0.272, 3.099, 3.478]], "species": ["Fe", "Li", "Li", "Li", "N"], "frac_coords": [[0.000, 0.000, 0.000], [0.000, 0.000, 0.500], [0.000, 0.500, 0.000], [0.500, 0.000, 0.000], [0.500, 0.500, 0.500]]}

***

The least stable of them is 2.

***

1.
{"formula": "LiFe2NiN", "functional": "PBE", "state": "relaxed", "magmom_total_mub_per_fu": 5.18, "vol_a3_per_atom": 10.538, "dos_at_fermi_per_ev_fu": 5.5, "lattice": [[3.729, 0.000, 0.000], [0.000, 3.729, 0.000], [0.000, 0.000, 3.789]], "species": ["Li", "Fe", "Fe", "Ni", "N"], "frac_coords": [[0.000, 0.000, 0.500], [0.500, 0.000, 0.000], [0.000, 0.500, 0.000], [0.500, 0.500, 0.500], [0.000, 0.000, 0.000]]}

***

2.
{"formula": "LiFe2NiN", "functional": "PBE", "state": "relaxed", "magmom_total_mub_per_fu": 4.65, "vol_a3_per_atom": 10.787, "dos_at_fermi_per_ev_fu": 4.7, "lattice": [[-0.625, 0.880, -3.600], [-1.396, -3.438, -0.598], [-3.488, 1.258, 0.913]], "species": ["Ni", "Fe", "Fe", "Li", "N"], "frac_coords": [[0.000, 0.000, 0.500], [0.500, 0.000, 0.000], [0.000, 0.500, 0.000], [0.500, 0.500, 0.500], [0.000, 0.000, 0.000]]}

***

The least stable of them is 1.

***

1.
{"formula": "LiFe2PdN", "functional": "PBE", "state": "relaxed", "magmom_total_mub_per_fu": 5.07, "vol_a3_per_atom": 11.419, "dos_at_fermi_per_ev_fu": 4.9, "lattice": [[-2.931, -0.166, -2.351], [1.974, -2.223, -2.303], [-1.382, -3.252, 1.954]], "species": ["Li", "Fe", "Fe", "N", "Pd"], "frac_coords": [[0.000, 0.000, 0.500], [0.500, 0.000, 0.000], [0.000, 0.500, 0.000], [0.000, 0.000, 0.000], [0.500, 0.500, 0.500]]}

***

2.
{"formula": "LiFe2PdN", "functional": "PBE", "state": "relaxed", "magmom_total_mub_per_fu": 4.43, "vol_a3_per_atom": 12.036, "dos_at_fermi_per_ev_fu": 4.3, "lattice": [[-0.763, 2.630, -2.532], [-3.485, -1.294, -0.293], [-1.259, 2.676, 3.159]], "species": ["Li", "Pd", "Fe", "Fe", "N"], "frac_coords": [[0.500, 0.500, 0.500], [0.000, 0.000, 0.500], [0.000, 0.500, 0.000], [0.500, 0.000, 0.000], [0.000, 0.000, 0.000]]}

***

The least stable of them is 2.

***

1.
{"formula": "LiFe2RhN", "functional": "PBE", "state": "relaxed", "magmom_total_mub_per_fu": 3.94, "vol_a3_per_atom": 11.517, "dos_at_fermi_per_ev_fu": 4.4, "lattice": [[3.736, 0.000, 0.000], [0.000, 3.736, 0.000], [0.000, 0.000, 4.124]], "species": ["Rh", "Fe", "Fe", "N", "Li"], "frac_coords": [[0.000, 0.000, 0.500], [0.500, 0.000, 0.000], [0.000, 0.500, 0.000], [0.000, 0.000, 0.000], [0.500, 0.500, 0.500]]}

***

2.
{"formula": "LiFe2RhN", "functional": "PBE", "state": "relaxed", "magmom_total_mub_per_fu": 1.39, "vol_a3_per_atom": 10.575, "dos_at_fermi_per_ev_fu": 4.9, "lattice": [[3.647, 0.000, 0.000], [0.000, 3.647, 0.000], [0.000, 0.000, 3.975]], "species": ["Li", "Fe", "Fe", "Rh", "N"], "frac_coords": [[0.000, 0.000, 0.500], [0.000, 0.500, 0.000], [0.500, 0.000, 0.000], [0.500, 0.500, 0.500], [0.000, 0.000, 0.000]]}

***

The least stable of them is 2.

***

1.
{"formula": "LiFeS2N", "functional": "PBE", "state": "relaxed", "magmom_total_mub_per_fu": 3.67, "vol_a3_per_atom": 12.767, "dos_at_fermi_per_ev_fu": 5.5, "lattice": [[4.352, 0.000, 0.000], [0.000, 4.352, 0.000], [0.000, 0.000, 3.371]], "species": ["N", "S", "S", "Fe", "Li"], "frac_coords": [[0.000, 0.000, 0.500], [0.500, 0.000, 0.000], [0.000, 0.500, 0.000], [0.500, 0.500, 0.500], [0.000, 0.000, 0.000]]}

***

2.
{"formula": "LiFeS2N", "functional": "PBE", "state": "relaxed", "magmom_total_mub_per_fu": 1.50, "vol_a3_per_atom": 15.149, "dos_at_fermi_per_ev_fu": 2.8, "lattice": [[-2.686, -3.433, -1.800], [2.790, -3.233, 2.001], [-1.943, 0.054, 2.796]], "species": ["S", "S", "Li", "N", "Fe"], "frac_coords": [[0.000, 0.500, 0.000], [0.500, 0.000, 0.000], [0.500, 0.500, 0.500], [0.000, 0.000, 0.500], [0.000, 0.000, 0.000]]}

***

The least stable of them is 1.

***

1.
{"formula": "LiFeSeN2", "functional": "PBE", "state": "relaxed", "magmom_total_mub_per_fu": 0.00, "vol_a3_per_atom": 11.502, "dos_at_fermi_per_ev_fu": 4.7, "lattice": [[-3.188, -1.026, -1.204], [-0.391, -2.114, 2.836], [-1.955, 3.410, 2.273]], "species": ["N", "N", "Se", "Li", "Fe"], "frac_coords": [[0.500, 0.000, 0.000], [0.000, 0.500, 0.000], [0.000, 0.000, 0.500], [0.000, 0.000, 0.000], [0.500, 0.500, 0.500]]}

***

2.
{"formula": "LiFeSeN2", "functional": "PBE", "state": "relaxed", "magmom_total_mub_per_fu": 0.00, "vol_a3_per_atom": 13.392, "dos_at_fermi_per_ev_fu": 2.8, "lattice": [[-0.893, -3.280, -1.053], [3.207, -0.395, -1.490], [1.867, -1.966, 4.541]], "species": ["Li", "N", "N", "Se", "Fe"], "frac_coords": [[0.500, 0.500, 0.500], [0.000, 0.500, 0.000], [0.500, 0.000, 0.000], [0.000, 0.000, 0.500], [0.000, 0.000, 0.000]]}

***

The least stable of them is 1.

***

1.
{"formula": "NaLiFe3", "functional": "PBE", "state": "relaxed", "magmom_total_mub_per_fu": 8.36, "vol_a3_per_atom": 19.365, "dos_at_fermi_per_ev_fu": 6.4, "lattice": [[-3.249, 3.214, -0.450], [-1.717, -1.163, 4.097], [2.754, 3.067, 2.025]], "species": ["Fe", "Fe", "Fe", "Li", "Na"], "frac_coords": [[0.500, 0.000, 0.000], [0.000, 0.000, 0.500], [0.000, 0.500, 0.000], [0.500, 0.500, 0.500], [0.000, 0.000, 0.000]]}

***

2.
{"formula": "NaLiFe3", "functional": "PBE", "state": "relaxed", "magmom_total_mub_per_fu": 7.94, "vol_a3_per_atom": 15.725, "dos_at_fermi_per_ev_fu": 6.0, "lattice": [[-0.762, 0.946, 4.108], [3.003, -2.808, 1.203], [2.958, 3.094, -0.164]], "species": ["Fe", "Fe", "Fe", "Na", "Li"], "frac_coords": [[0.000, 0.500, 0.000], [0.500, 0.000, 0.000], [0.000, 0.000, 0.500], [0.500, 0.500, 0.500], [0.000, 0.000, 0.000]]}

***

The least stable of them is 1.

***

1.
{"formula": "LiNb2Fe2", "functional": "PBE", "state": "relaxed", "magmom_total_mub_per_fu": 0.00, "vol_a3_per_atom": 14.924, "dos_at_fermi_per_ev_fu": 5.2, "lattice": [[7.129, 0.000, 0.000], [0.000, 7.129, 0.000], [0.000, 0.000, 2.937]], "species": ["Li", "Li", "Nb", "Nb", "Nb", "Nb", "Fe", "Fe", "Fe", "Fe"], "frac_coords": [[0.000, 0.000, 0.000], [0.500, 0.500, 0.000], [0.158, 0.658, 0.500], [0.842, 0.342, 0.500], [0.658, 0.842, 0.500], [0.342, 0.158, 0.500], [0.862, 0.638, 0.000], [0.362, 0.862, 0.000], [0.138, 0.362, 0.000], [0.638, 0.138, 0.000]]}

***

2.
{"formula": "LiNb2Fe2", "functional": "PBE", "state": "relaxed", "magmom_total_mub_per_fu": 0.01, "vol_a3_per_atom": 15.135, "dos_at_fermi_per_ev_fu": 4.2, "lattice": [[-4.331, 1.372, -5.687], [4.040, -4.415, -4.143], [-1.661, -2.206, 0.732]], "species": ["Fe", "Fe", "Fe", "Fe", "Nb", "Nb", "Nb", "Nb", "Li", "Li"], "frac_coords": [[0.356, 0.144, 0.500], [0.856, 0.356, 0.500], [0.144, 0.644, 0.500], [0.644, 0.856, 0.500], [0.652, 0.152, 0.000], [0.348, 0.848, 0.000], [0.848, 0.652, 0.000], [0.152, 0.348, 0.000], [0.500, 0.500, 0.000], [0.000, 0.000, 0.000]]}

***

The least stable of them is 2.

***

1.
{"formula": "LiNb3Fe", "functional": "PBE", "state": "relaxed", "magmom_total_mub_per_fu": 0.00, "vol_a3_per_atom": 16.254, "dos_at_fermi_per_ev_fu": 10.5, "lattice": [[4.332, 0.000, 0.000], [0.000, 4.332, 0.000], [0.000, 0.000, 4.332]], "species": ["Nb", "Nb", "Nb", "Fe", "Li"], "frac_coords": [[0.500, 0.000, 0.000], [0.000, 0.000, 0.500], [0.000, 0.500, 0.000], [0.500, 0.500, 0.500], [0.000, 0.000, 0.000]]}

***

2.
{"formula": "LiNb3Fe", "functional": "PBE", "state": "relaxed", "magmom_total_mub_per_fu": 0.00, "vol_a3_per_atom": 19.853, "dos_at_fermi_per_ev_fu": 5.0, "lattice": [[4.630, 0.000, 0.000], [0.000, 4.630, 0.000], [0.000, 0.000, 4.630]], "species": ["Li", "Nb", "Nb", "Nb", "Fe"], "frac_coords": [[0.500, 0.500, 0.500], [0.000, 0.500, 0.000], [0.000, 0.000, 0.500], [0.500, 0.000, 0.000], [0.000, 0.000, 0.000]]}

***

The least stable of them is 1.